Record 1
## SrCo2Mo (PBE-GGA)

Data for crystalline SrCo2Mo at its relaxed geometry.

The structure belongs to space group P4/mmm (No. 123); the cell edges are 3.092, 3.092 and 7.273 Å and the angles 90.00°, 90.00° and 90.00°. Symmetry generates all atoms from Sr at (0.000, 0.000, 0.000), Co at (0.500, 0.500, 0.327) and Mo at (0.000, 0.000, 0.500).

Its electronic total energy is -6.3137 eV per atom. The density of states at the Fermi level is 0.671 states/eV per atom. For the energy relative to the elements, the calculation gives 1.5 eV/f.u.

---

Record 2
## RbScSb3 (PBE-GGA)

Data for crystalline RbScSb3 at its relaxed geometry.

The structure belongs to space group Pm-3m (No. 221); the cell edges are 5.783, 5.783 and 5.783 Å and the angles 90.00°, 90.00° and 90.00°. Symmetry generates all atoms from Rb at (0.000, 0.000, 0.000), Sc at (0.500, 0.500, 0.500) and Sb at (0.000, 0.000, 0.500).

Its electronic total energy is -2.6472 eV per atom. The density of states at the Fermi level is 1.067 states/eV per atom. Its formation energy without anion corrections is 6.4 eV/f.u.

---

Record 3
## TeIrRh (PBE-GGA)

Data for crystalline TeIrRh at its relaxed geometry.

The structure belongs to space group P3m1 (No. 156); the cell edges are 3.1594, 3.1594 and 6.1076 Å and the angles 90.00°, 90.00° and 120.00°. Symmetry generates all atoms from Te at (0.0000, 0.0000, 0.0000), Ir at (0.6667, 0.3333, 0.3316) and Rh at (0.3333, 0.6667, 0.6746).

Its electronic total energy is -6.0184 eV per atom. The density of states at the Fermi level is 1.429 states/eV per atom. Its formation energy without anion corrections is 1.3 eV/f.u.

---

Record 4
## Li3TcBr (PBE-GGA)

Data for crystalline Li3TcBr at its relaxed geometry.

The structure belongs to space group Pm-3m (No. 221); the cell edges are 4.783, 4.783 and 4.783 Å and the angles 90.00°, 90.00° and 90.00°. Symmetry generates all atoms from Li at (0.000, 0.000, 0.500), Tc at (0.500, 0.500, 0.500) and Br at (0.000, 0.000, 0.000).

Its electronic total energy is -3.1528 eV per atom. The density of states at the Fermi level is 0.301 states/eV per atom. Its formation energy without anion corrections is 2.0 eV/f.u.

---

Record order is preserved below.
Total moment: 0.00 0.00 0.00 3.07 μB per cell